First-principles (meta-GGA SCAN) data for a crystal of MgZnSe2 relaxed with PBEsol, as listed in the Alexandria database.

The space group is Pmmn, No. 59. For the uncorrected energy, the calculation gives -122.670 eV for the cell shown. The formation energy (no corrections) is -0.672 eV/atom. The total magnetization is 0.000 μB/atom.

Geometry as POSCAR:
```
MgZnSe2
1.0
3.722 0.000 0.000
0.000 5.033 0.000
0.000 0.000 9.016
Mg Zn Se
2 2 4
Direct
0.250 0.250 0.156
0.750 0.750 0.844
0.250 0.250 0.594
0.750 0.750 0.406
0.250 0.250 0.867
0.250 0.750 0.600
0.750 0.250 0.400
0.750 0.750 0.133
```